[1]
YLuAgAu | the Open Quantum Materials Database | PBE | relaxed; excess energy over the best structure of this formula in the dataset = 0 meV/atom; VASP energy = -19.6 eV per formula unit; formation energy from the elements = -0.618 eV/atom; V = 91.5 Å³ per cell
1.0
0.000 3.577 3.577
3.577 0.000 3.577
3.577 3.577 0.000
Ag Au Lu Y
1 1 1 1
Direct
0.250 0.250 0.250
0.750 0.750 0.750
0.500 0.500 0.500
0.000 0.000 0.000



[2]
LuZnAgAu | the Open Quantum Materials Database | PBE | relaxed; excess energy over the best structure of this formula in the dataset = 91 meV/atom; VASP energy = -13.4 eV per formula unit; formation energy from the elements = -0.370 eV/atom; V = 75.1 Å³ per cell
1.0
1.439 -3.924 2.226
2.399 0.331 4.069
-2.046 -1.300 4.067
Ag Au Lu Zn
1 1 1 1
Direct
0.500 0.500 0.500
0.250 0.250 0.250
0.750 0.750 0.750
0.000 0.000 0.000



[3]
LuZnAgAu | the Open Quantum Materials Database | PBE | relaxed; excess energy over the best structure of this formula in the dataset = 37 meV/atom; VASP energy = -13.6 eV per formula unit; formation energy from the elements = -0.424 eV/atom; V = 76.7 Å³ per cell
1.0
0.000 3.372 3.372
3.372 0.000 3.372
3.372 3.372 0.000
Ag Au Lu Zn
1 1 1 1
Direct
0.250 0.250 0.250
0.000 0.000 0.000
0.750 0.750 0.750
0.500 0.500 0.500



[4]
LuZnAgAu | the Open Quantum Materials Database | PBE | relaxed; excess energy over the best structure of this formula in the dataset = 0 meV/atom; VASP energy = -13.7 eV per formula unit; formation energy from the elements = -0.461 eV/atom; V = 76.4 Å³ per cell
1.0
0.000 3.367 3.367
3.367 0.000 3.367
3.367 3.367 0.000
Ag Au Lu Zn
1 1 1 1
Direct
0.500 0.500 0.500
0.000 0.000 0.000
0.750 0.750 0.750
0.250 0.250 0.250



[5]
Mg2AgAu | the Open Quantum Materials Database | PBE | relaxed; excess energy over the best structure of this formula in the dataset = 0 meV/atom; VASP energy = -11.0 eV per formula unit; V = 432.4 Å³ per cell
1.0
-0.473 3.867 -2.557
-0.802 -3.693 -5.437
-13.838 -0.238 2.202
Ag Au Mg
6 6 12
Direct
0.000 0.500 0.000
0.500 0.000 0.167
0.000 0.500 0.333
0.500 0.000 0.500
0.000 0.500 0.667
0.500 0.000 0.833
0.000 0.000 0.000
0.500 0.500 0.167
0.000 0.000 0.333
0.500 0.500 0.500
0.000 0.000 0.667
0.500 0.500 0.833
0.500 0.250 0.000
0.500 0.750 0.000
0.000 0.250 0.167
0.000 0.750 0.167
0.500 0.250 0.333
0.500 0.750 0.333
0.000 0.250 0.500
0.000 0.750 0.500
0.500 0.250 0.667
0.500 0.750 0.667
0.000 0.250 0.833
0.000 0.750 0.833



[6]
Mg2AgAu | the Open Quantum Materials Database | PBE | relaxed; excess energy over the best structure of this formula in the dataset = 32 meV/atom; VASP energy = -10.9 eV per formula unit; V = 70.5 Å³ per cell
1.0
4.074 -1.738 1.914
-1.276 -4.585 0.792
-0.402 2.398 -4.167
Ag Au Mg
1 1 2
Direct
0.500 0.500 0.000
0.000 0.000 0.000
0.750 0.250 0.500
0.250 0.750 0.500



[7]
Mg2AgAu | the Open Quantum Materials Database | PBE | relaxed; excess energy over the best structure of this formula in the dataset = 0 meV/atom; VASP energy = -11.0 eV per formula unit; V = 432.4 Å³ per cell
1.0
-2.643 -3.484 -1.650
5.168 -2.325 -3.369
3.597 -7.937 10.997
Ag Au Mg
6 6 12
Direct
0.000 0.000 0.000
0.500 0.500 0.167
0.000 0.000 0.333
0.500 0.500 0.500
0.000 0.000 0.667
0.500 0.500 0.833
0.000 0.500 0.000
0.500 0.000 0.167
0.000 0.500 0.333
0.500 0.000 0.500
0.000 0.500 0.667
0.500 0.000 0.833
0.500 0.250 0.000
0.500 0.750 0.000
0.000 0.250 0.167
0.000 0.750 0.167
0.500 0.250 0.333
0.500 0.750 0.333
0.000 0.250 0.500
0.000 0.750 0.500
0.500 0.250 0.667
0.500 0.750 0.667
0.000 0.250 0.833
0.000 0.750 0.833



[8]
Mg2AgAu | the Open Quantum Materials Database | PBE | relaxed; excess energy over the best structure of this formula in the dataset = 17 meV/atom; VASP energy = -10.9 eV per formula unit; V = 287.0 Å³ per cell
1.0
-3.970 -3.925 2.953
5.012 -4.576 0.656
1.693 2.693 5.856
Ag Au Mg
4 4 8
Direct
0.998 0.750 0.001
0.498 0.250 0.499
0.502 0.750 0.501
0.002 0.250 0.999
0.499 0.250 0.000
0.999 0.750 0.500
0.001 0.250 0.500
0.501 0.750 0.000
0.250 0.501 0.250
0.250 0.999 0.250
0.750 0.001 0.250
0.750 0.499 0.250
0.250 0.501 0.750
0.250 0.999 0.750
0.750 0.001 0.750
0.750 0.499 0.750



[9]
Mg2AgAu | the Open Quantum Materials Database | PBE | relaxed; excess energy over the best structure of this formula in the dataset = 13 meV/atom; VASP energy = -10.9 eV per formula unit; V = 72.4 Å³ per cell
1.0
-0.005 -0.912 -4.507
-4.281 -1.645 0.338
-1.249 3.122 -0.630
Ag Au Mg
1 1 2
Direct
0.500 0.500 0.000
0.000 0.000 0.000
0.500 0.000 0.500
0.000 0.500 0.500



[10]
Mg2AgAu | the Open Quantum Materials Database | PBE | relaxed; excess energy over the best structure of this formula in the dataset = 0 meV/atom; VASP energy = -11.0 eV per formula unit; V = 288.0 Å³ per cell
1.0
6.567 0.000 0.000
0.000 4.682 0.000
0.000 0.000 9.366
Ag Au Mg
4 4 8
Direct
0.750 0.250 0.124
0.250 0.750 0.376
0.750 0.250 0.624
0.250 0.750 0.876
0.250 0.250 0.125
0.750 0.750 0.375
0.250 0.250 0.625
0.750 0.750 0.875
0.000 0.750 0.125
0.500 0.750 0.126
0.000 0.250 0.374
0.500 0.250 0.375
0.500 0.750 0.625
0.000 0.750 0.626
0.500 0.250 0.874
0.000 0.250 0.875



[11]
Mg2AgAu | the Open Quantum Materials Database | PBE | relaxed; excess energy over the best structure of this formula in the dataset = 14 meV/atom; VASP energy = -10.9 eV per formula unit; V = 72.2 Å³ per cell
1.0
3.317 0.000 0.000
0.000 3.317 0.000
0.000 0.000 6.568
Ag Au Mg
1 1 2
Direct
0.000 0.000 0.500
0.000 0.000 0.000
0.500 0.500 0.244
0.500 0.500 0.756



[12]
Mg6AgAu | the Open Quantum Materials Database | PBE | relaxed; VASP energy = -17.3 eV per formula unit; V = 156.8 Å³ per cell
1.0
6.098 0.000 0.000
-3.049 5.281 0.000
0.000 0.000 4.870
Ag Au Mg
1 1 6
Direct
0.000 0.000 0.000
0.667 0.333 0.500
0.505 0.010 0.000
0.505 0.495 0.000
0.990 0.495 0.000
0.163 0.325 0.500
0.163 0.837 0.500
0.675 0.837 0.500



[13]
TbNd2Mg3AgAu2 | the Open Quantum Materials Database | PBE | relaxed; VASP energy = -33.0 eV per formula unit; V = 217.3 Å³ per cell
1.0
-1.217 3.261 -2.080
-2.684 3.236 6.644
7.409 1.306 -2.287
Ag Au Mg Nd Tb
1 2 3 2 1
Direct
0.000 0.997 0.997
0.500 0.665 0.340
0.500 0.340 0.665
0.500 0.249 0.249
0.500 0.997 0.752
0.500 0.752 0.997
0.000 0.416 0.000
0.000 0.000 0.416
0.000 0.584 0.584



[14]
MgAgPbAu | the Open Quantum Materials Database | PBE | relaxed; excess energy over the best structure of this formula in the dataset = 0 meV/atom; VASP energy = -11.8 eV per formula unit; V = 85.5 Å³ per cell
1.0
-2.592 -3.837 -1.736
-1.364 -3.645 3.050
-4.756 -0.535 1.242
Ag Au Mg Pb
1 1 1 1
Direct
0.250 0.250 0.250
0.750 0.750 0.750
0.000 0.000 0.000
0.500 0.500 0.500



[15]
Pr3Mg3AgPdAu | the Open Quantum Materials Database | PBE | relaxed; VASP energy = -35.0 eV per formula unit; V = 220.6 Å³ per cell
1.0
7.778 0.000 0.000
-3.889 6.736 0.000
0.000 0.000 4.211
Ag Au Mg Pd Pr
1 1 3 1 3
Direct
0.000 0.000 0.000
0.333 0.667 0.500
0.244 0.001 0.500
0.999 0.243 0.500
0.757 0.756 0.500
0.667 0.333 0.500
0.585 0.007 0.000
0.422 0.415 0.000
0.993 0.578 0.000



[16]
Pr3Mg3AgAu2 | the Open Quantum Materials Database | PBE | relaxed; VASP energy = -33.1 eV per formula unit; V = 226.4 Å³ per cell
1.0
-1.056 2.097 -7.479
4.412 -6.243 1.735
-3.441 -2.491 -0.213
Ag Au Mg Pr
1 2 3 3
Direct
0.000 0.000 0.000
0.667 0.333 0.500
0.333 0.667 0.500
0.758 0.000 0.500
0.242 0.242 0.500
0.000 0.758 0.500
0.418 0.000 0.000
0.000 0.418 0.000
0.582 0.582 0.000



[17]
Pr3Mg3AgPtAu | the Open Quantum Materials Database | PBE | relaxed; VASP energy = -36.6 eV per formula unit; V = 220.2 Å³ per cell
1.0
7.791 0.000 0.000
-3.896 6.747 0.000
0.000 0.000 4.189
Ag Au Mg Pr Pt
1 1 3 3 1
Direct
0.000 0.000 0.000
0.333 0.667 0.500
0.246 0.002 0.500
0.998 0.244 0.500
0.756 0.754 0.500
0.587 0.012 0.000
0.425 0.413 0.000
0.988 0.575 0.000
0.667 0.333 0.500



[18]
MgAgAuS3 | the Open Quantum Materials Database | PBE | relaxed; VASP energy = -21.6 eV per formula unit; V = 248.7 Å³ per cell
1.0
-5.454 4.462 -3.342
3.190 -3.497 6.199
4.877 7.070 1.479
Ag Au Mg S
2 2 2 6
Direct
0.438 0.562 0.250
0.562 0.438 0.750
0.000 0.000 0.000
0.000 0.000 0.500
0.695 0.305 0.250
0.305 0.695 0.750
0.283 0.717 0.122
0.071 0.929 0.250
0.283 0.717 0.378
0.717 0.283 0.622
0.929 0.071 0.750
0.717 0.283 0.878



[19]
Mg3Sc2Ag2Au | the Open Quantum Materials Database | PBE | relaxed; VASP energy = -29.0 eV per formula unit; V = 156.6 Å³ per cell
1.0
4.775 0.000 0.000
0.000 4.775 0.000
0.000 0.000 6.869
Ag Au Mg Sc
2 1 3 2
Direct
0.500 0.500 0.000
0.000 0.000 0.500
0.000 0.000 0.000
0.500 0.000 0.242
0.500 0.500 0.500
0.000 0.500 0.758
0.000 0.500 0.233
0.500 0.000 0.767



[20]
Mg2Sc2TlAg2Au | the Open Quantum Materials Database | PBE | relaxed; VASP energy = -30.2 eV per formula unit; V = 157.3 Å³ per cell
1.0
4.795 0.000 0.000
0.000 4.795 0.000
0.000 0.000 6.841
Ag Au Mg Sc Tl
2 1 2 2 1
Direct
0.000 0.000 0.000
0.500 0.500 0.500
0.000 0.000 0.500
0.000 0.500 0.262
0.500 0.000 0.738
0.500 0.000 0.264
0.000 0.500 0.736
0.500 0.500 0.000